# SiPt2Rh | Alexandria via LeMat-Bulk | GGA-PBE | relaxed
data_SiPt2Rh
_chemical_formula_sum 'Si2 Pt4 Rh2'
_space_group_name_H-M_alt 'C m m m'
_space_group_IT_number 65
_space_group_name_Hall '-C 2 2'
_cell_length_a 5.318
_cell_length_b 7.537
_cell_length_c 2.933
_cell_angle_alpha 90.00
_cell_angle_beta 90.00
_cell_angle_gamma 90.00
loop_
_atom_site_label
_atom_site_type_symbol
_atom_site_fract_x
_atom_site_fract_y
_atom_site_fract_z
Si1 Si 0.000 0.000 0.000
Pt1 Pt 0.250 0.250 0.500
Rh1 Rh 0.000 0.500 0.000
# Formation energy (no corrections) (meV per atom): -264.9
# Raw total energy (eV/cell): -51.831
# Crystal system: orthorhombic